[1]
Entry from Alexandria: crystalline Gd3MgAlS7 at its relaxed geometry (PBE-GGA).

a b c (Å): 9.807 9.807 6.189
angles (deg): 90.00 90.00 120.00
Element x y z (fractional)
Gd 0.620 0.849 0.269
Gd 0.151 0.771 0.269
Gd 0.229 0.380 0.269
Gd 0.380 0.151 0.769
Gd 0.849 0.229 0.769
Gd 0.771 0.620 0.769
Mg 0.000 0.000 0.444
Mg 0.000 0.000 0.944
Al 0.333 0.667 0.847
Al 0.667 0.333 0.347
S 0.758 0.897 0.684
S 0.103 0.861 0.684
S 0.139 0.242 0.684
S 0.242 0.103 0.184
S 0.897 0.139 0.184
S 0.861 0.758 0.184
S 0.480 0.574 0.001
S 0.426 0.906 0.001
S 0.094 0.520 0.001
S 0.520 0.426 0.501
S 0.574 0.094 0.501
S 0.906 0.480 0.501
S 0.333 0.667 0.483
S 0.667 0.333 0.983

ΔE_f (raw)	-1767	meV per atom
space group	P6_3, No. 173
magnetization	42.0	μB per cell
total DFT energy (no corrections)	-8.14	eV/atom


[2]
Entry from Alexandria: crystalline Pr3TeSeBr at its relaxed geometry (PBE-GGA).

a b c (Å): 4.287 8.661 10.223
angles (deg): 102.83 90.00 90.00
Element x y z (fractional)
Pr 0.250 0.700 0.496
Pr 0.750 0.895 0.109
Pr 0.750 0.427 0.150
Pr 0.750 0.300 0.504
Pr 0.250 0.573 0.850
Pr 0.250 0.105 0.891
Te 0.750 0.815 0.770
Te 0.250 0.185 0.230
Se 0.250 0.663 0.150
Se 0.750 0.337 0.850
Br 0.250 0.105 0.602
Br 0.750 0.895 0.398

ΔE_f (raw)	-1396	meV per atom
space group	P2_1/m, No. 11
magnetization	0.0	μB per cell
density of states at the Fermi level	4.521	states/eV/f.u.
total DFT energy (no corrections)	-5.17	eV/atom


[3]
Entry from Alexandria: crystalline TlN2Cl at its relaxed geometry (PBE-GGA).

a b c (Å): 6.352 6.352 6.352
angles (deg): 32.87 32.87 32.87
Element x y z (fractional)
Tl 0.500 0.500 0.500
N 0.897 0.897 0.897
N 0.103 0.103 0.103
Cl 0.000 0.000 0.000

ΔE_f (raw)	1386	meV per atom
ΔE to the lowest computed polymorph	1848.6	meV/atom
space group	R-3m, No. 166
magnetization	0.1	μB per cell
density of states at the Fermi level	3.793	states/eV/f.u.
total DFT energy (no corrections)	-3.83	eV/atom


[4]
Entry from Alexandria: crystalline KCd2CoAs at its relaxed geometry (PBE-GGA).

a b c (Å): 5.149 5.149 4.516
angles (deg): 90.00 90.00 90.00
Element x y z (fractional)
As 0.000 0.000 0.500
Co 0.000 0.000 0.000
K 0.500 0.500 0.500
Cd 0.000 0.500 0.000
Cd 0.500 0.000 0.000

space group	P4/mmm, No. 123
formation energy	-0.233	eV per formula unit
magnetization	0.7	μB per cell
density of states at the Fermi level	2.676	states/eV/f.u.
total DFT energy (no corrections)	-2.98	eV/atom


[5]
Entry from Alexandria: crystalline NiP at its relaxed geometry (PBE-GGA).

a b c (Å): 3.913 3.913 7.232
angles (deg): 77.06 77.06 45.90
Element x y z (fractional)
Ni 0.975 0.975 0.034
Ni 0.679 0.679 0.567
Ni 0.641 0.641 0.228
P 0.323 0.323 0.346
P 0.931 0.931 0.704
P 0.284 0.284 0.954

space group	Cm, No. 8
formation energy	-0.467	eV per formula unit
magnetization	0.0	μB per cell
density of states at the Fermi level	0.957	states/eV/f.u.
total DFT energy (no corrections)	-5.83	eV/atom


[6]
Entry from Alexandria: crystalline Ga2AgSb at its relaxed geometry (PBE-GGA).

a b c (Å): 3.480 3.480 6.917
angles (deg): 90.00 90.00 90.00
Element x y z (fractional)
Sb 0.500 0.500 0.500
Ga 0.000 0.000 0.777
Ga 0.000 0.000 0.223
Ag 0.500 0.500 0.000

ΔE_f (raw)	114	meV per atom
space group	P4/mmm, No. 123
magnetization	0.0	μB per cell
density of states at the Fermi level	2.164	states/eV/f.u.
total DFT energy (no corrections)	-3.14	eV/atom


[7]
Entry from Alexandria: crystalline Tb3DyTm3Se8 at its relaxed geometry (PBE-GGA).

a b c (Å): 8.083 8.083 8.093
angles (deg): 119.97 90.00 120.00
Element x y z (fractional)
Tb 0.000 0.000 0.000
Tb 0.000 0.500 0.000
Tb 0.500 0.500 0.000
Dy 0.000 0.000 0.500
Tm 0.500 0.000 0.500
Tm 0.500 0.500 0.500
Tm 0.000 0.500 0.500
Se 0.252 0.504 0.257
Se 0.748 0.496 0.743
Se 0.746 0.491 0.251
Se 0.254 0.509 0.749
Se 0.746 0.005 0.250
Se 0.254 0.995 0.750
Se 0.259 0.005 0.250
Se 0.741 0.995 0.750

ΔE_f (raw)	-1814	meV per atom
space group	R-3m, No. 166
magnetization	0.0	μB per cell
density of states at the Fermi level	6.002	states/eV/f.u.
total DFT energy (no corrections)	-5.80	eV/atom


[8]
Entry from Alexandria: crystalline DyY3Ho6Sc2 at its relaxed geometry (PBE-GGA).

a b c (Å): 6.056 6.056 11.570
angles (deg): 95.00 95.00 119.95
Element x y z (fractional)
Dy 0.000 0.000 0.000
Y 0.167 0.833 0.500
Y 0.833 0.167 0.500
Y 0.500 0.500 0.500
Ho 0.918 0.583 0.756
Ho 0.746 0.746 0.243
Ho 0.082 0.417 0.244
Ho 0.583 0.918 0.756
Ho 0.254 0.254 0.757
Ho 0.417 0.082 0.244
Sc 0.333 0.667 0.000
Sc 0.667 0.333 0.000

space group	C2/m, No. 12
formation energy	0.482	eV per formula unit
magnetization	0.0	μB per cell
density of states at the Fermi level	18.134	states/eV/f.u.
total DFT energy (no corrections)	-5.30	eV/atom


[9]
Entry from Alexandria: crystalline NpC at its relaxed geometry (PBE-GGA).

a b c (Å): 3.500 3.500 3.500
angles (deg): 60.00 60.00 60.00
Element x y z (fractional)
Np 0.000 0.000 0.000
C 0.500 0.500 0.500

ΔE to the lowest computed polymorph	0.0	meV/atom
space group	Fm-3m, No. 225
formation energy	0.346	eV per formula unit
magnetization	2.8	μB per cell
density of states at the Fermi level	4.208	states/eV/f.u.
total DFT energy (no corrections)	-10.91	eV/atom


[10]
Entry from Alexandria: crystalline TaReAs2 at its relaxed geometry (PBE-GGA).

a b c (Å): 4.459 4.459 3.146
angles (deg): 90.00 90.00 90.00
Element x y z (fractional)
Re 0.500 0.000 0.500
As 0.000 0.000 0.000
As 0.500 0.500 0.000
Ta 0.000 0.500 0.500

ΔE to the lowest computed polymorph	120.1	meV/atom
space group	P4/mmm, No. 123
formation energy	0.109	eV per formula unit
magnetization	0.0	μB per cell
density of states at the Fermi level	3.023	states/eV/f.u.
total DFT energy (no corrections)	-8.37	eV/atom


[11]
Entry from Alexandria: crystalline SmFeNiGe3 at its relaxed geometry (PBE-GGA).

a b c (Å): 5.796 7.099 6.519
angles (deg): 122.99 90.00 90.00
Element x y z (fractional)
Sm 0.750 0.252 0.503
Sm 0.250 0.748 0.497
Fe 0.250 0.049 0.099
Fe 0.750 0.951 0.901
Ni 0.250 0.457 0.915
Ni 0.750 0.543 0.085
Ge 0.250 0.253 0.506
Ge 0.000 0.248 0.000
Ge 0.500 0.752 0.000
Ge 0.500 0.248 0.000
Ge 0.000 0.752 0.000
Ge 0.750 0.747 0.494

space group	Cmcm, No. 63
formation energy	-1.360	eV per formula unit
magnetization	2.5	μB per cell
density of states at the Fermi level	3.236	states/eV/f.u.
total DFT energy (no corrections)	-5.70	eV/atom


[12]
Entry from Alexandria: crystalline Zr3Al2Zn3 at its relaxed geometry (PBE-GGA).

a b c (Å): 4.103 5.567 13.736
angles (deg): 90.00 90.00 111.62
Element x y z (fractional)
Zr 0.930 0.860 0.380
Zr 0.070 0.140 0.880
Zr 0.930 0.860 0.120
Zr 0.070 0.140 0.620
Zr 0.646 0.292 0.250
Zr 0.354 0.708 0.750
Al 0.784 0.567 0.901
Al 0.216 0.433 0.401
Al 0.784 0.567 0.599
Al 0.216 0.433 0.099
Zn 0.607 0.214 0.460
Zn 0.393 0.786 0.960
Zn 0.607 0.214 0.040
Zn 0.393 0.786 0.540
Zn 0.360 0.721 0.250
Zn 0.640 0.279 0.750

space group	Cmcm, No. 63
formation energy	-2.865	eV per formula unit
magnetization	0.0	μB per cell
density of states at the Fermi level	4.795	states/eV/f.u.
total DFT energy (no corrections)	-4.98	eV/atom


[13]
Entry from Alexandria: crystalline Tb5NdPb4 at its relaxed geometry (PBE-GGA).

a b c (Å): 4.558 8.123 9.378
angles (deg): 102.58 104.07 90.00
Element x y z (fractional)
Tb 0.792 0.689 0.584
Tb 0.861 0.276 0.721
Tb 0.139 0.724 0.279
Tb 0.500 0.500 0.000
Tb 0.208 0.311 0.416
Nd 0.500 0.000 0.000
Pb 0.315 0.987 0.630
Pb 0.961 0.717 0.923
Pb 0.685 0.013 0.370
Pb 0.039 0.283 0.077

space group	C2/m, No. 12
formation energy	-2.527	eV per formula unit
magnetization	0.5	μB per cell
density of states at the Fermi level	10.592	states/eV/f.u.
total DFT energy (no corrections)	-4.53	eV/atom


[14]
Entry from Alexandria: crystalline Cs2Hg7Au at its relaxed geometry (PBE-GGA).

a b c (Å): 5.511 5.511 11.412
angles (deg): 90.00 90.00 90.00
Element x y z (fractional)
Cs 0.500 0.000 0.760
Cs 0.000 0.500 0.240
Hg 0.000 0.500 0.891
Hg 0.500 0.000 0.375
Hg 0.500 0.000 0.109
Hg 0.000 0.500 0.625
Hg 0.000 0.000 0.500
Hg 0.000 0.000 0.000
Hg 0.500 0.500 0.500
Au 0.500 0.500 0.000

ΔE to the lowest computed polymorph	0.0	meV/atom
space group	P-4m2, No. 115
formation energy	-1.967	eV per formula unit
magnetization	0.0	μB per cell
density of states at the Fermi level	3.749	states/eV/f.u.
total DFT energy (no corrections)	-0.91	eV/atom


[15]
Entry from Alexandria: crystalline LaNd2Ir2 at its relaxed geometry (PBE-GGA).

a b c (Å): 4.048 7.053 10.070
angles (deg): 90.00 90.00 106.68
Element x y z (fractional)
La 0.903 0.806 0.147
La 0.097 0.194 0.647
Nd 0.645 0.289 0.963
Nd 0.356 0.711 0.831
Nd 0.355 0.711 0.463
Nd 0.644 0.289 0.331
Ir 0.250 0.500 0.147
Ir 0.000 0.000 0.897
Ir 0.750 0.500 0.647
Ir 0.000 0.000 0.397

ΔE to the lowest computed polymorph	0.0	meV/atom
space group	Cmcm, No. 63
formation energy	-3.009	eV per formula unit
magnetization	0.0	μB per cell
density of states at the Fermi level	2.888	states/eV/f.u.
total DFT energy (no corrections)	-7.04	eV/atom


[16]
Entry from Alexandria: crystalline MgCd2Pb4 at its relaxed geometry (PBE-GGA).

a b c (Å): 5.549 5.549 8.525
angles (deg): 108.99 108.99 90.00
Element x y z (fractional)
Mg 0.000 0.000 0.000
Cd 0.614 0.614 0.227
Cd 0.386 0.386 0.773
Pb 0.807 0.807 0.613
Pb 0.193 0.193 0.387
Pb 0.000 0.500 0.000
Pb 0.500 0.000 0.000

space group	I4/mmm, No. 139
formation energy	2.207	eV per formula unit
magnetization	0.0	μB per cell
density of states at the Fermi level	3.615	states/eV/f.u.
total DFT energy (no corrections)	-2.29	eV/atom


[17]
Entry from Alexandria: crystalline HRhNO2 at its relaxed geometry (PBE-GGA).

a b c (Å): 3.961 3.961 3.723
angles (deg): 90.00 90.00 90.00
Element x y z (fractional)
H 0.500 0.500 0.500
Rh 0.000 0.000 0.000
O 0.000 0.500 0.000
O 0.500 0.000 0.000
N 0.000 0.000 0.500

space group	P4/mmm, No. 123
magnetization	1.3	μB per cell
density of states at the Fermi level	3.839	states/eV/f.u.
total DFT energy (no corrections)	-4.75	eV/atom


[18]
Entry from Alexandria: crystalline Y2Ga6Os at its relaxed geometry (PBE-GGA).

a b c (Å): 5.849 5.745 5.745
angles (deg): 60.45 89.18 89.18
Element x y z (fractional)
Y 0.860 0.668 0.668
Y 0.140 0.332 0.332
Ga 0.320 0.347 0.823
Ga 0.326 0.824 0.824
Ga 0.320 0.823 0.347
Ga 0.680 0.653 0.177
Ga 0.674 0.176 0.176
Ga 0.680 0.177 0.653
Os 0.000 0.000 0.000

space group	C2/m, No. 12
formation energy	-4.053	eV per formula unit
magnetization	0.0	μB per cell
density of states at the Fermi level	4.296	states/eV/f.u.
total DFT energy (no corrections)	-5.15	eV/atom


[19]
Entry from Alexandria: crystalline La2TcRu at its relaxed geometry (PBE-GGA).

a b c (Å): 8.770 8.770 8.770
angles (deg): 23.36 23.36 23.36
Element x y z (fractional)
La 0.999 0.999 0.999
La 0.501 0.501 0.501
Ru 0.250 0.250 0.250
Tc 0.750 0.750 0.750

ΔE to the lowest computed polymorph	407.2	meV/atom
space group	R-3m, No. 166
formation energy	1.586	eV per formula unit
magnetization	0.0	μB per cell
density of states at the Fermi level	4.612	states/eV/f.u.
total DFT energy (no corrections)	-6.98	eV/atom


[20]
Entry from Alexandria: crystalline CrOs5 at its relaxed geometry (PBE-GGA).

a b c (Å): 2.735 5.104 6.401
angles (deg): 76.77 90.00 105.54
Element x y z (fractional)
Cr 0.999 0.999 0.001
Os 0.389 0.779 0.727
Os 0.665 0.331 0.670
Os 0.056 0.111 0.385
Os 0.335 0.670 0.330
Os 0.722 0.444 0.054

space group	Cm, No. 8
formation energy	-0.069	eV per formula unit
magnetization	0.0	μB per cell
density of states at the Fermi level	4.504	states/eV/f.u.
total DFT energy (no corrections)	-10.97	eV/atom